ZnOs2Pt: optimized geometry, PBE.

Structure (POSCAR):
```
ZnOs2Pt
1.0
-2.472 -3.708 -1.542
-0.671 -4.659 0.294
-3.418 0.008 3.357
Os Zn Pt
2 1 1
Cartesian
-5.035 -6.248 1.704 Os
-3.334 -0.041 3.249 Os
-1.710 -2.082 0.600 Zn
-3.181 -4.159 0.967 Pt
```

Values from the calculation:
The calculation puts the total moment at 0.0 μB/f.u. The value obtained for the formation energy is 0.10 eV/atom.